Crystalline LiMgSn4 at its relaxed geometry. Source: the Alexandria database, functional PBE.

Output
The density of states at the Fermi level comes out at 1.97 states/eV/f.u. As for the mass density: 5343 kg/m3. The value obtained for the energy is -19.9 eV/cell. For the formation energy, the calculation gives -0.069 eV per atom.

Cell lengths 5.4023, 5.4023, 6.9412 Å; angles 112.62, 112.62, 60.08 degrees
Fractional coordinates of all 6 atoms:
1 Li 0.0000 0.0000 0.0000
2 Mg 0.5000 0.5000 0.5000
3 Sn 0.1752 0.1752 0.5270
4 Sn 0.3341 0.3341 0.0022
5 Sn 0.6659 0.6659 0.9978
6 Sn 0.8248 0.8248 0.4730

=====

Crystalline Li12Mg6Sn at its relaxed geometry. Source: the Alexandria database, functional PBE.

Output
The density of states at the Fermi level comes out at 7.24 states/eV/f.u. As for the mass density: 1452 kg/m3. The value obtained for the energy is -37.8 eV/cell. For the formation energy, the calculation gives -0.068 eV per atom.

Cell lengths 7.3635, 7.3635, 7.3635 Å; angles 92.77, 92.77, 92.77 degrees
Fractional coordinates of all 19 atoms:
1 Li 0.0341 0.2934 0.9488
2 Li 0.0512 0.9659 0.7066
3 Li 0.1326 0.3533 0.4517
4 Li 0.2934 0.9488 0.0341
5 Li 0.3533 0.4517 0.1326
6 Li 0.4517 0.1326 0.3533
7 Li 0.5483 0.8674 0.6467
8 Li 0.6467 0.5483 0.8674
9 Li 0.7066 0.0512 0.9659
10 Li 0.8674 0.6467 0.5483
11 Li 0.9488 0.0341 0.2934
12 Li 0.9659 0.7066 0.0512
13 Mg 0.2181 0.7710 0.3871
14 Mg 0.2290 0.6129 0.7819
15 Mg 0.3871 0.2181 0.7710
16 Mg 0.6129 0.7819 0.2290
17 Mg 0.7710 0.3871 0.2181
18 Mg 0.7819 0.2290 0.6129
19 Sn 0.5000 0.5000 0.5000

=====

Crystalline Li3Mg7Sn at its relaxed geometry. Source: the Alexandria database, functional PBE.

Output
The density of states at the Fermi level comes out at 4.60 states/eV/f.u. As for the mass density: 2021 kg/m3. The value obtained for the energy is -21.0 eV/cell. For the formation energy, the calculation gives -0.013 eV per atom.

Cell lengths 6.2473, 6.2473, 7.5266 Å; angles 90.00, 90.00, 120.00 degrees
Fractional coordinates of all 11 atoms:
1 Li 0.0078 0.5039 0.0000
2 Li 0.4961 0.5039 0.0000
3 Li 0.4961 0.9922 0.0000
4 Mg 0.1672 0.3345 0.3266
5 Mg 0.1672 0.8328 0.3266
6 Mg 0.3348 0.1674 0.6760
7 Mg 0.6655 0.8328 0.3266
8 Mg 0.6667 0.3333 0.3163
9 Mg 0.8326 0.1674 0.6760
10 Mg 0.8326 0.6652 0.6760
11 Sn 0.3333 0.6667 0.6894

=====

Crystalline LiMg7Sn4 at its relaxed geometry. Source: the Alexandria database, functional PBE.

Output
The density of states at the Fermi level comes out at 3.69 states/eV/f.u. As for the mass density: 3487 kg/m3. The value obtained for the energy is -29.2 eV/cell. For the formation energy, the calculation gives -0.008 eV per atom.

Cell lengths 7.8492, 7.8492, 10.8060 Å; angles 127.73, 127.73, 37.69 degrees
Fractional coordinates of all 12 atoms:
1 Li 0.0000 0.0000 0.0000
2 Mg 0.0463 0.0463 0.4030
3 Mg 0.2365 0.2365 0.3360
4 Mg 0.3334 0.3334 0.1271
5 Mg 0.5000 0.5000 0.0000
6 Mg 0.6666 0.6666 0.8729
7 Mg 0.7635 0.7635 0.6640
8 Mg 0.9537 0.9537 0.5970
9 Sn 0.2121 0.2121 0.7709
10 Sn 0.4098 0.4098 0.6869
11 Sn 0.5902 0.5902 0.3131
12 Sn 0.7879 0.7879 0.2291

=====

Crystalline Li4Mg7Sn at its relaxed geometry. Source: the Alexandria database, functional PBE.

Output
The density of states at the Fermi level comes out at 5.77 states/eV/f.u. As for the mass density: 1915 kg/m3. The value obtained for the energy is -22.2 eV/cell. For the formation energy, the calculation gives 0.051 eV per atom.

Cell lengths 7.5107, 7.5107, 8.4454 Å; angles 116.96, 116.96, 41.19 degrees
Fractional coordinates of all 12 atoms:
1 Li 0.0519 0.0519 0.1915
2 Li 0.1762 0.1762 0.8589
3 Li 0.8238 0.8238 0.1411
4 Li 0.9481 0.9481 0.8085
5 Mg 0.0000 0.0000 0.5000
6 Mg 0.2599 0.2599 0.2308
7 Mg 0.3073 0.3073 0.6251
8 Mg 0.4120 0.4120 0.0541
9 Mg 0.5880 0.5880 0.9459
10 Mg 0.6927 0.6927 0.3749
11 Mg 0.7401 0.7401 0.7692
12 Sn 0.5000 0.5000 0.5000

=====

Crystalline LiMgSn at its relaxed geometry. Source: the Alexandria database, functional PBE.

Output
The density of states at the Fermi level comes out at 1.19 states/eV/f.u. As for the mass density: 3889 kg/m3. The value obtained for the energy is -16.8 eV/cell. For the formation energy, the calculation gives -0.297 eV per atom.

Cell lengths 3.4703, 4.5786, 8.0590 Å; angles 90.00, 90.00, 90.00 degrees
Fractional coordinates of all 6 atoms:
1 Li 0.2500 0.2500 0.0371
2 Li 0.7500 0.7500 0.9629
3 Mg 0.2500 0.7500 0.6163
4 Mg 0.7500 0.2500 0.3837
5 Sn 0.2500 0.7500 0.2516
6 Sn 0.7500 0.2500 0.7484

=====

Crystalline Li2Mg5Sn5 at its relaxed geometry. Source: the Alexandria database, functional PBE.

Output
The density of states at the Fermi level comes out at 3.09 states/eV/f.u. As for the mass density: 4183 kg/m3. The value obtained for the energy is -33.5 eV/cell. For the formation energy, the calculation gives -0.141 eV per atom.

Cell lengths 7.1635, 7.1635, 9.0881 Å; angles 105.51, 105.51, 40.33 degrees
Fractional coordinates of all 12 atoms:
1 Li 0.1343 0.1343 0.2937
2 Li 0.8657 0.8657 0.7063
3 Mg 0.2922 0.2922 0.1063
4 Mg 0.3722 0.3722 0.4771
5 Mg 0.5000 0.5000 0.0000
6 Mg 0.6278 0.6278 0.5229
7 Mg 0.7078 0.7078 0.8937
8 Sn 0.0000 0.0000 0.5000
9 Sn 0.0786 0.0786 0.8797
10 Sn 0.2502 0.2502 0.7111
11 Sn 0.7498 0.7498 0.2889
12 Sn 0.9214 0.9214 0.1203

=====

Crystalline LiMg3Sn at its relaxed geometry. Source: the Alexandria database, functional PBE.

Output
The density of states at the Fermi level comes out at 2.07 states/eV/f.u. As for the mass density: 3039 kg/m3. The value obtained for the energy is -45.9 eV/cell. For the formation energy, the calculation gives -0.154 eV per atom. The excess energy over the best structure of this formula in the dataset is 0.0 meV/atom.

Cell lengths 6.2905, 4.4212, 15.6048 Å; angles 90.00, 90.00, 90.00 degrees
Fractional coordinates of all 20 atoms:
1 Li 0.1232 0.2500 0.0495
2 Li 0.3768 0.7500 0.5495
3 Li 0.6232 0.2500 0.4505
4 Li 0.8768 0.7500 0.9505
5 Mg 0.1245 0.2500 0.6494
6 Mg 0.1255 0.2500 0.2484
7 Mg 0.1292 0.2500 0.4488
8 Mg 0.3708 0.7500 0.9488
9 Mg 0.3745 0.7500 0.7484
10 Mg 0.3755 0.7500 0.1494
11 Mg 0.6245 0.2500 0.8506
12 Mg 0.6255 0.2500 0.2516
13 Mg 0.6292 0.2500 0.0512
14 Mg 0.8708 0.7500 0.5512
15 Mg 0.8745 0.7500 0.7516
16 Mg 0.8755 0.7500 0.3506
17 Sn 0.1167 0.2500 0.8553
18 Sn 0.3833 0.7500 0.3553
19 Sn 0.6167 0.2500 0.6447
20 Sn 0.8833 0.7500 0.1447

=====

Crystalline Li2MgSn at its relaxed geometry. Source: the Alexandria database, functional PBE.

Output
The density of states at the Fermi level comes out at 0.93 states/eV/f.u. As for the mass density: 3317 kg/m3. The value obtained for the energy is -10.4 eV/cell. For the formation energy, the calculation gives -0.238 eV per atom.

Cell lengths 3.4485, 3.4485, 6.6049 Å; angles 90.00, 90.00, 90.00 degrees
Fractional coordinates of all 4 atoms:
1 Li 0.0000 0.0000 0.2421
2 Li 0.0000 0.0000 0.7579
3 Mg 0.5000 0.5000 0.5000
4 Sn 0.5000 0.5000 0.0000

=====

Crystalline LiMg5Sn3 at its relaxed geometry. Source: the Alexandria database, functional PBE.

Output
The density of states at the Fermi level comes out at 2.57 states/eV/f.u. As for the mass density: 3326 kg/m3. The value obtained for the energy is -44.2 eV/cell. For the formation energy, the calculation gives -0.024 eV per atom.

Cell lengths 6.8882, 6.8882, 10.4812 Å; angles 96.49, 96.49, 79.60 degrees
Fractional coordinates of all 18 atoms:
1 Li 0.0273 0.0273 0.2543
2 Li 0.9727 0.9727 0.7457
3 Mg 0.0086 0.6184 0.3536
4 Mg 0.2666 0.2666 0.1398
5 Mg 0.3204 0.6796 0.0000
6 Mg 0.3816 0.9914 0.6464
7 Mg 0.4647 0.4647 0.6705
8 Mg 0.5353 0.5353 0.3295
9 Mg 0.6184 0.0086 0.3536
10 Mg 0.6796 0.3204 0.0000
11 Mg 0.7334 0.7334 0.8602
12 Mg 0.9914 0.3816 0.6464
13 Sn 0.0000 0.0000 0.0000
14 Sn 0.0000 0.0000 0.5000
15 Sn 0.2798 0.2798 0.4239
16 Sn 0.2797 0.2797 0.8639
17 Sn 0.7203 0.7203 0.1361
18 Sn 0.7202 0.7202 0.5761

=====

Crystalline Li6Mg2Sn3 at its relaxed geometry. Source: the Alexandria database, functional PBE.

Output
The density of states at the Fermi level comes out at 4.48 states/eV/f.u. As for the mass density: 3189 kg/m3. The value obtained for the energy is -28.2 eV/cell. For the formation energy, the calculation gives -0.139 eV per atom.

Cell lengths 17.0816, 17.0816, 17.0816 Å; angles 167.53, 167.53, 17.67 degrees
Fractional coordinates of all 11 atoms:
1 Li 0.1214 0.6214 0.5000
2 Li 0.2263 0.2263 0.0000
3 Li 0.3786 0.8786 0.5000
4 Li 0.6214 0.1214 0.5000
5 Li 0.7737 0.7737 0.0000
6 Li 0.8786 0.3786 0.5000
7 Mg 0.0498 0.0498 0.0000
8 Mg 0.9502 0.9502 0.0000
9 Sn 0.3141 0.3141 0.0000
10 Sn 0.5000 0.5000 0.0000
11 Sn 0.6859 0.6859 0.0000

=====

Crystalline Li4MgSn2 at its relaxed geometry. Source: the Alexandria database, functional PBE.

Output
The density of states at the Fermi level comes out at 1.95 states/eV/f.u. As for the mass density: 2835 kg/m3. The value obtained for the energy is -17.0 eV/cell. For the formation energy, the calculation gives 0.035 eV per atom. The excess energy over the best structure of this formula in the dataset is 328.0 meV/atom.

Cell lengths 7.8468, 7.8468, 7.8468 Å; angles 143.54, 143.54, 52.51 degrees
Fractional coordinates of all 7 atoms:
1 Li 0.0000 0.5000 0.5000
2 Li 0.1965 0.1965 0.0000
3 Li 0.5000 0.0000 0.5000
4 Li 0.8035 0.8035 0.0000
5 Mg 0.0000 0.0000 0.0000
6 Sn 0.3943 0.3943 0.0000
7 Sn 0.6057 0.6057 0.0000

=====

What is the mass density in the seventh record?
4183 kg/m3

=====

What is the formula in the ninth record?
Li2MgSn

=====

What is the mass density in the ninth record?
3317 kg/m3

=====

Which formula does entry 1 have?
LiMgSn4